First-principles (PBE-GGA) data for Ba2Sr3CaMg2Si4O16 after structural relaxation, as listed in Alexandria.

Unit cell a=7.0403 b=5.5452 c=9.6027 alpha=90.00 beta=90.01 gamma=90.00
Last column: nearest neighbours and their distance in Å.
Sites, in units of the cell vectors:
Ba 0.0000 0.0000 0.0000  6 O 2.81-2.84
Ba 0.9997 0.5000 0.4999  6 O 2.81-2.84
Sr 0.3389 0.0000 0.6651  1 O 2.38
Sr 0.3390 0.5000 0.1681  1 O 2.38
Sr 0.6624 0.5000 0.8332  1 O 2.38
Ca 0.6714 0.0000 0.3338  1 O 2.28
Mg 0.5000 0.0000 0.0016  6 O 2.09-2.12
Mg 0.5001 0.5000 0.4985  6 O 2.07-2.10
Si 0.2268 0.0000 0.3330  4 O 1.63-1.66
Si 0.2304 0.5000 0.8335  4 O 1.62-1.66
Si 0.7711 0.0000 0.6644  4 O 1.62-1.66
Si 0.7712 0.5000 0.1688  4 O 1.61-1.66
O 0.0005 0.0000 0.6659  1 Si 1.62
O 0.0006 0.5000 0.1672  1 Si 1.61
O 0.0008 0.5000 0.8331  1 Si 1.62
O 0.3198 0.0000 0.1748  1 Si 1.65
O 0.3208 0.2373 0.4120  1 Si 1.66
O 0.3208 0.7627 0.4120  1 Si 1.66
O 0.3239 0.2626 0.9128  1 Si 1.66
O 0.3239 0.7374 0.9128  1 Si 1.66
O 0.3247 0.5000 0.6752  1 Si 1.66
O 0.6770 0.0000 0.8231  1 Si 1.66
O 0.6773 0.2606 0.0911  1 Si 1.66
O 0.6773 0.7394 0.0911  1 Si 1.66
O 0.6777 0.2358 0.5835  1 Si 1.66
O 0.6780 0.5000 0.3268  1 Si 1.65
O 0.6777 0.7642 0.5835  1 Si 1.66
O 0.9946 0.0000 0.3334  1 Si 1.63

Results
D(E_F) ... 0.000 states/eV per atom
Uncorrected formation energy ... -83.3 eV/f.u.
Space group ... No. 6
Uncorrected energy ... -198.410 eV per cell